4
Lattice="0.000 3.307 3.307 3.307 0.000 3.307 3.307 3.307 0.000" Properties=species:S:1:pos:R:3 comment="PBE SrNbNi2, relaxed" de_polymorph_mev_per_atom=0 final_energy_ev_per_atom=-5.3461 pbc="T T T"
Sr 0.000 0.000 0.000
Nb 3.307 3.307 3.307
Ni 1.653 1.653 1.653
Ni 4.960 4.960 4.960

=====

4
Lattice="0.000 3.339 3.339 3.339 0.000 3.339 3.339 3.339 0.000" Properties=species:S:1:pos:R:3 comment="PBE SrNb2Ni, relaxed" de_polymorph_mev_per_atom=38 final_energy_ev_per_atom=-5.9197 pbc="T T T"
Sr 0.000 0.000 0.000
Nb 1.669 1.669 1.669
Nb 5.008 5.008 5.008
Ni 3.339 3.339 3.339

=====

5
Lattice="-2.074 2.074 5.730 2.074 -2.074 5.730 2.074 2.074 -5.730" Properties=species:S:1:pos:R:3 comment="PBE SrNb2Ni2, relaxed" de_polymorph_mev_per_atom=0 final_energy_ev_per_atom=-6.4997 pbc="T T T"
Sr 0.000 0.000 0.000
Nb 2.074 0.000 2.865
Nb 0.000 2.074 2.865
Ni 0.000 0.000 4.441
Ni 0.000 0.000 7.018

=====

10
Lattice="8.104 0.000 0.000 0.000 8.104 0.000 0.000 0.000 2.765" Properties=species:S:1:pos:R:3 comment="PBE SrNb2Ni2, relaxed" de_polymorph_mev_per_atom=120 final_energy_ev_per_atom=-6.3797 pbc="T T T"
Sr 0.000 0.000 0.000
Sr 4.052 4.052 0.000
Nb 1.004 3.048 1.383
Nb 3.048 7.099 1.383
Nb 5.056 1.004 1.383
Nb 7.099 5.056 1.383
Ni 1.352 5.404 0.000
Ni 2.700 1.352 0.000
Ni 5.404 6.752 0.000
Ni 6.752 2.700 0.000

=====

5
Lattice="4.841 0.000 0.000 0.000 4.841 0.000 0.000 0.000 4.967" Properties=species:S:1:pos:R:3 comment="PBE SrTi2NbNi, relaxed" final_energy_ev_per_atom=-5.9796 pbc="T T T"
Sr 0.000 0.000 0.000
Ti 0.000 2.420 2.484
Ti 2.420 0.000 2.484
Nb 2.420 2.420 2.484
Ni 2.420 2.420 0.000

=====

5
Lattice="4.580 0.000 0.000 0.000 4.580 0.000 0.000 0.000 5.063" Properties=species:S:1:pos:R:3 comment="PBE SrNbZnNi2, relaxed" final_energy_ev_per_atom=-3.1243 pbc="T T T"
Sr 0.000 0.000 0.000
Nb 2.290 2.290 2.532
Zn 0.000 0.000 2.532
Ni 0.000 2.290 0.000
Ni 2.290 0.000 0.000

=====

| no. | formation energy (kJ/mol of formula units) | size of the total moment (μB/cell) | N(E_F) (states/eV per cell) |
| --- | --- | --- | --- |
| 1 | 186.2 | 0.0 | 5.04 |
| 2 | 378.6 | 0.0 | 4.78 |
| 3 | 85.5 | 0.0 | 6.59 |
| 4 | 143.3 | 0.0 | 11.57 |
| 5 | 330.5 | 0.0 | 7.63 |
| 6 | 865.1 | 0.0 | 10.27 |